## BaLiSn2Hg4 (PBE)

Data for crystalline BaLiSn2Hg4 at its relaxed geometry.

```
BaLiSn2Hg4
1.0
2.610 1.507 9.093
-2.610 1.507 9.093
0.000 -3.014 9.093
Ba Li Sn Hg
1 1 2 4
Direct
0.000 0.000 0.000 Ba
0.500 0.500 0.500 Li
0.246 0.246 0.246 Sn
0.754 0.754 0.754 Sn
0.134 0.134 0.134 Hg
0.395 0.395 0.395 Hg
0.605 0.605 0.605 Hg
0.866 0.866 0.866 Hg
```

Computed properties:
Its crystal system is trigonal. Its raw total energy is -1.929 eV per atom. The calculation puts the energy of formation from the pure elements at -28.8 kJ per mole of atoms.